Compound: Tb6Nd12Mg
Source: Alexandria via LeMat-Bulk
Functional: PBE
Structure: relaxed

extended XYZ file:
```
19
Lattice="6.067 3.503 5.117 -6.067 3.503 5.117 0.000 -7.006 5.117" Properties=species:S:1:pos:R:3 pbc="T T T"
Tb -3.332 -0.799 8.029
Tb -0.975 -3.285 7.323
Tb -2.358 2.487 7.323
Tb 2.358 -2.487 8.029
Tb 0.975 3.285 8.029
Tb 3.332 0.799 7.323
Nd -5.423 1.410 6.412
Nd -3.933 -3.991 8.940
Nd -2.108 -0.050 4.791
Nd 1.490 -5.401 6.412
Nd 1.097 -1.801 4.791
Nd 1.011 1.851 4.791
Nd -1.011 -1.851 10.561
Nd -1.097 1.801 10.561
Nd -1.490 5.401 8.940
Nd 2.108 0.050 10.562
Nd 3.932 3.991 6.412
Nd 5.423 -1.410 8.940
Mg 0.000 0.000 7.676
```

Calculated values
- formation enthalpy at 0 K (kJ per mole of atoms) = 11
- energy above the lowest structure with this stoichiometry (meV/atom) = 0
- E (eV/atom) = -4.439
- total magnetization (μB per formula unit) = 0.0

---

Compound: Ac3TcHg3O8
Source: Alexandria via LeMat-Bulk
Functional: PBE
Structure: relaxed

extended XYZ file:
```
15
Lattice="6.450 -3.722 0.000 6.450 3.722 0.000 -4.305 0.000 7.484" Properties=species:S:1:pos:R:3 pbc="T T T"
Ac 0.000 0.000 0.000
Ac 3.225 1.861 0.000
Ac 3.225 -1.861 0.000
Tc 6.450 0.000 0.000
Hg 1.072 1.861 3.742
Hg 1.072 -1.861 3.742
Hg 4.297 0.000 3.742
O 2.149 0.000 0.891
O 5.619 1.438 1.018
O 0.483 0.000 6.466
O 2.976 1.438 6.466
O 5.619 -1.438 1.018
O 8.111 0.000 1.018
O 2.976 -1.438 6.466
O 6.445 0.000 6.593
```

Calculated values
- E_form (uncorrected) (eV/atom) = -1.846
- E (eV/atom) = -6.064
- total magnetization (μB per formula unit) = 0.0

---

Compound: NdHo2Tm3S6
Source: Alexandria via LeMat-Bulk
Functional: PBE
Structure: relaxed

extended XYZ file:
```
12
Lattice="8.490 -1.938 0.000 8.490 1.938 0.000 -1.860 0.000 7.620" Properties=species:S:1:pos:R:3 pbc="T T T"
Nd 0.000 0.000 0.000
Ho 4.436 0.000 5.101
Ho 10.684 0.000 2.519
Tm -0.930 0.000 3.810
Tm 5.396 0.000 1.265
Tm 9.724 0.000 6.355
S 1.734 0.000 4.464
S 2.776 0.000 0.637
S 7.996 0.000 2.015
S 7.124 0.000 5.605
S 12.344 0.000 6.983
S 13.385 0.000 3.156
```

Calculated values
- E_form (uncorrected) (eV/atom) = -1.959
- E (eV/atom) = -6.301
- total magnetization (μB per formula unit) = 0.0

---

Compound: Pm2PuPd
Source: Alexandria via LeMat-Bulk
Functional: PBE
Structure: relaxed

extended XYZ file:
```
4
Lattice="3.607 0.000 0.000 0.000 3.607 0.000 0.000 0.000 8.438" Properties=species:S:1:pos:R:3 pbc="T T T"
Pm 0.000 0.000 1.745
Pm 0.000 0.000 6.693
Pu 1.804 1.804 4.219
Pd 1.804 1.804 0.000
```

Calculated values
- formation enthalpy at 0 K (kJ per mole of atoms) = -25
- energy above the lowest structure with this stoichiometry (meV/atom) = 0
- E (eV/atom) = -7.517
- total magnetization (μB per formula unit) = 6.9

---

Compound: HgPN2
Source: Alexandria via LeMat-Bulk
Functional: PBE
Structure: relaxed

extended XYZ file:
```
4
Lattice="0.000 2.913 2.913 2.913 0.000 2.913 2.913 2.913 0.000" Properties=species:S:1:pos:R:3 pbc="T T T"
Hg 0.000 0.000 0.000
P 2.913 2.913 2.913
N 1.456 1.456 1.456
N 4.369 4.369 4.369
```

Calculated values
- E_form (uncorrected) (eV/atom) = 2.103
- energy above the lowest structure with this stoichiometry (meV/atom) = 1855
- E (eV/atom) = -3.488
- total magnetization (μB per formula unit) = 1.1

---

Compound: Li2CrHRu
Source: Alexandria via LeMat-Bulk
Functional: PBE
Structure: relaxed

extended XYZ file:
```
5
Lattice="4.730 0.000 0.000 0.000 4.730 0.000 0.000 0.000 3.028" Properties=species:S:1:pos:R:3 pbc="T T T"
Li 0.000 2.365 0.000
Li 2.365 0.000 0.000
Cr 0.000 0.000 0.000
H 0.000 0.000 1.514
Ru 2.365 2.365 1.514
```

Calculated values
- E (eV/atom) = -4.327
- total magnetization (μB per formula unit) = 2.4

---

Compound: LiTaP
Source: Alexandria via LeMat-Bulk
Functional: PBE
Structure: relaxed

extended XYZ file:
```
6
Lattice="3.907 0.000 0.000 0.000 3.907 0.000 0.000 0.000 6.708" Properties=species:S:1:pos:R:3 pbc="T T T"
Li 0.977 0.977 0.947
Li 2.931 2.931 5.761
Ta 0.977 2.931 3.354
Ta 2.931 0.977 3.354
P 0.977 0.977 5.071
P 2.931 2.931 1.637
```

Calculated values
- formation enthalpy at 0 K (kJ per mole of atoms) = -55
- energy above the lowest structure with this stoichiometry (meV/atom) = 0
- E (eV/atom) = -6.966
- total magnetization (μB per formula unit) = 0.0

---

Compound: Cs2ZrAsF6
Source: Alexandria via LeMat-Bulk
Functional: PBE
Structure: relaxed

extended XYZ file:
```
10
Lattice="-3.561 3.561 5.081 3.561 -3.561 5.081 3.561 3.561 -5.081" Properties=species:S:1:pos:R:3 pbc="T T T"
Cs 3.561 0.000 2.541
Cs 0.000 3.561 2.541
Zr 0.000 0.000 0.000
As 0.000 0.000 5.081
F 0.000 0.000 2.041
F 1.443 1.443 0.000
F 2.118 -2.118 5.081
F -2.118 2.118 5.081
F 2.118 2.118 5.081
F 0.000 0.000 8.122
```

Calculated values
- E_form (uncorrected) (eV/atom) = -2.700
- E (eV/atom) = -5.314
- total magnetization (μB per formula unit) = 3.0

---

Compound: TaCr2Br
Source: Alexandria via LeMat-Bulk
Functional: PBE
Structure: relaxed

extended XYZ file:
```
4
Lattice="1.831 -2.480 0.000 1.831 2.480 0.000 0.000 0.000 8.063" Properties=species:S:1:pos:R:3 pbc="T T T"
Ta 0.000 0.000 0.000
Cr 1.831 0.000 1.911
Cr 1.831 0.000 6.152
Br 0.000 0.000 4.032
```

Calculated values
- E_form (uncorrected) (eV/atom) = 0.511
- energy above the lowest structure with this stoichiometry (meV/atom) = 203
- E (eV/atom) = -7.682
- total magnetization (μB per formula unit) = 6.2

---

Compound: Tb9DyHo2
Source: Alexandria via LeMat-Bulk
Functional: PBE
Structure: relaxed

extended XYZ file:
```
12
Lattice="5.015 0.000 0.000 0.000 5.015 0.000 0.000 0.000 15.048" Properties=species:S:1:pos:R:3 pbc="T T T"
Tb 0.000 0.000 0.000
Tb 0.000 0.000 5.021
Tb 0.000 0.000 10.028
Tb 0.000 2.507 2.514
Tb 0.000 2.507 7.524
Tb 0.000 2.507 12.534
Tb 2.507 0.000 2.514
Tb 2.507 0.000 7.524
Tb 2.507 0.000 12.534
Dy 2.507 2.507 0.000
Ho 2.507 2.507 5.020
Ho 2.507 2.507 10.029
```

Calculated values
- formation enthalpy at 0 K (kJ per mole of atoms) = 2
- energy above the lowest structure with this stoichiometry (meV/atom) = 0
- E (eV/atom) = -4.600
- total magnetization (μB per formula unit) = 0.0

---

Compound: HgBrNF2
Source: Alexandria via LeMat-Bulk
Functional: PBE
Structure: relaxed

extended XYZ file:
```
5
Lattice="4.793 0.000 0.000 0.000 4.793 0.000 0.000 0.000 3.691" Properties=species:S:1:pos:R:3 pbc="T T T"
Hg 0.000 0.000 0.000
Br 2.397 2.397 1.846
N 2.397 2.397 0.000
F 0.000 2.397 1.846
F 2.397 0.000 1.846
```

Calculated values
- E_form (uncorrected) (eV/atom) = 0.442
- energy above the lowest structure with this stoichiometry (meV/atom) = 0
- E (eV/atom) = -2.367
- total magnetization (μB per formula unit) = 0.0

---

Compound: Sr2MoP2N6
Source: Alexandria via LeMat-Bulk
Functional: PBE
Structure: relaxed

extended XYZ file:
```
11
Lattice="2.784 1.608 5.331 -2.784 1.608 5.331 0.000 -3.215 5.331" Properties=species:S:1:pos:R:3 pbc="T T T"
Sr 0.000 0.000 3.659
Sr 0.000 0.000 12.334
Mo 0.000 0.000 0.000
P 0.000 0.000 6.914
P 0.000 0.000 9.079
N 0.000 -1.572 6.520
N -1.362 0.786 6.520
N -1.362 -0.786 9.473
N 1.362 0.786 6.520
N 1.362 -0.786 9.473
N 0.000 1.572 9.473
```

Calculated values
- E_form (uncorrected) (eV/atom) = -0.648
- E (eV/atom) = -7.464
- total magnetization (μB per formula unit) = 0.0

---

Among the records above, which one has the highest E?
HgBrNF2